{"formula": "CuHg2Se2Cl2", "functional": "PBE-GGA", "state": "optimized geometry", "crystal_system": "triclinic", "sg": "P-1, No. 2", "dos_ef_per_ev_cell": 3.26, "lattice_angstrom": [[3.972, 1.513, 0.151], [1.608, 10.844, -0.088], [3.021, 5.378, 5.074]], "species": ["Se", "Se", "Cl", "Cl", "Cu", "Hg", "Hg"], "frac_coords": [[0.539, 0.892, 0.427], [0.461, 0.108, 0.573], [0.425, 0.396, 0.835], [0.575, 0.604, 0.165], [0.000, 0.000, 0.000], [0.040, 0.664, 0.608], [0.960, 0.336, 0.392]]}

---

{"formula": "Cu2HgSeCl", "functional": "PBE-GGA", "state": "optimized geometry", "crystal_system": "tetragonal", "sg": "P4/mmm, No. 123", "dos_ef_per_ev_cell": 2.01, "lattice_angstrom": [[-2.877, -2.430, 2.140], [-1.812, -2.622, -5.413], [2.988, -3.096, 0.500]], "species": ["Cu", "Cu", "Hg", "Se", "Cl"], "frac_coords": [[0.000, 0.000, 0.500], [0.500, 0.000, 0.000], [0.000, 0.500, 0.000], [0.500, 0.500, 0.500], [0.000, 0.000, 0.000]]}

---

{"formula": "CuSnHgCl5", "functional": "PBE-GGA", "state": "optimized geometry", "crystal_system": "monoclinic", "sg": "C2/c, No. 15", "lattice_angstrom": [[8.846, -1.631, -0.378], [-4.143, 7.985, -0.378], [-2.439, -3.294, 8.033]], "species": ["Cl", "Cl", "Cl", "Cl", "Cl", "Cl", "Cl", "Cl", "Cl", "Cl", "Cu", "Cu", "Sn", "Sn", "Hg", "Hg"], "frac_coords": [[0.229, 0.354, 0.531], [0.831, 0.334, 0.100], [0.646, 0.771, 0.969], [0.666, 0.169, 0.400], [0.882, 0.118, 0.750], [0.169, 0.666, 0.900], [0.118, 0.882, 0.250], [0.771, 0.646, 0.469], [0.334, 0.831, 0.600], [0.354, 0.229, 0.031], [0.343, 0.657, 0.750], [0.657, 0.343, 0.250], [0.275, 0.725, 0.250], [0.725, 0.275, 0.750], [0.000, 0.000, 0.500], [0.000, 0.000, 0.000]]}

---

{"formula": "TlCuHgCl5", "functional": "PBE-GGA", "state": "optimized geometry", "crystal_system": "monoclinic", "sg": "C2/c, No. 15", "dos_ef_per_ev_cell": 6.15, "lattice_angstrom": [[-3.490, 6.661, 0.177], [-4.814, -5.742, 0.663], [4.478, -0.150, 8.370]], "species": ["Hg", "Hg", "Cl", "Cl", "Cl", "Cl", "Cl", "Cl", "Cl", "Cl", "Cl", "Cl", "Cu", "Cu", "Tl", "Tl"], "frac_coords": [[0.000, 0.000, 0.000], [0.000, 0.000, 0.500], [0.591, 0.715, 0.933], [0.285, 0.409, 0.567], [0.409, 0.285, 0.067], [0.715, 0.591, 0.433], [0.079, 0.921, 0.250], [0.125, 0.705, 0.898], [0.875, 0.295, 0.102], [0.295, 0.875, 0.602], [0.705, 0.125, 0.398], [0.921, 0.079, 0.750], [0.679, 0.321, 0.250], [0.321, 0.679, 0.750], [0.659, 0.341, 0.750], [0.341, 0.659, 0.250]]}

---

{"formula": "Tl2Cu2HgCl6", "functional": "PBE-GGA", "state": "optimized geometry", "crystal_system": "monoclinic", "sg": "C2/m, No. 12", "lattice_angstrom": [[-5.881, -4.234, -0.459], [3.617, 0.491, 6.556], [-4.106, 5.922, -2.017]], "species": ["Cu", "Cu", "Cl", "Cl", "Cl", "Cl", "Cl", "Cl", "Tl", "Tl", "Hg"], "frac_coords": [[0.946, 0.892, 0.784], [0.054, 0.108, 0.216], [0.698, 0.893, 0.199], [0.752, 0.505, 0.656], [0.805, 0.107, 0.801], [0.302, 0.107, 0.801], [0.248, 0.495, 0.344], [0.195, 0.893, 0.199], [0.732, 0.464, 0.208], [0.268, 0.536, 0.792], [0.500, 0.000, 0.500]]}

---

{"formula": "TlCu2HgCl8", "functional": "PBE-GGA", "state": "optimized geometry", "crystal_system": "triclinic", "sg": "P-1, No. 2", "dos_ef_per_ev_cell": 5.33, "lattice_angstrom": [[-0.448, -6.563, 1.230], [1.171, -0.489, -6.343], [7.248, -0.057, 1.025]], "species": ["Cl", "Cl", "Cl", "Cl", "Cl", "Cl", "Cl", "Cl", "Tl", "Hg", "Cu", "Cu"], "frac_coords": [[0.833, 0.201, 0.753], [0.657, 0.691, 0.000], [0.338, 0.314, 0.500], [0.182, 0.784, 0.738], [0.662, 0.686, 0.500], [0.167, 0.799, 0.247], [0.818, 0.216, 0.262], [0.343, 0.309, 0.000], [0.000, 0.000, 0.500], [0.000, 0.000, 0.000], [0.486, 0.514, 0.754], [0.514, 0.486, 0.246]]}

---

{"formula": "Tl3Cu2HgCl8", "functional": "PBE-GGA", "state": "optimized geometry", "crystal_system": "trigonal", "sg": "P-3m1, No. 164", "dos_ef_per_ev_cell": 11.05, "lattice_angstrom": [[7.246, 0.000, 0.000], [-3.623, 6.275, 0.000], [0.000, 0.000, 9.063]], "species": ["Tl", "Tl", "Tl", "Cl", "Cl", "Cl", "Cl", "Cl", "Cl", "Cl", "Cl", "Cu", "Cu", "Hg"], "frac_coords": [[0.000, 0.000, 0.000], [0.333, 0.667, 0.631], [0.667, 0.333, 0.369], [0.335, 0.168, 0.689], [0.168, 0.335, 0.311], [0.665, 0.832, 0.311], [0.333, 0.667, 0.958], [0.667, 0.333, 0.042], [0.832, 0.665, 0.689], [0.832, 0.168, 0.689], [0.168, 0.832, 0.311], [0.333, 0.667, 0.199], [0.667, 0.333, 0.801], [0.000, 0.000, 0.500]]}

---

{"formula": "Tl2CuHgCl5", "functional": "PBE-GGA", "state": "optimized geometry", "crystal_system": "orthorhombic", "sg": "Cmc2_1, No. 36", "lattice_angstrom": [[4.215, 0.000, 0.000], [-2.107, 9.450, 0.000], [0.000, 0.000, 13.434]], "species": ["Cl", "Cl", "Cl", "Cl", "Cl", "Cl", "Cl", "Cl", "Cl", "Cl", "Hg", "Hg", "Tl", "Tl", "Tl", "Tl", "Cu", "Cu"], "frac_coords": [[0.505, 0.010, 0.281], [0.076, 0.152, 0.996], [0.700, 0.401, 0.879], [0.924, 0.848, 0.496], [0.657, 0.315, 0.525], [0.343, 0.685, 0.025], [0.297, 0.593, 0.671], [0.300, 0.599, 0.379], [0.495, 0.990, 0.781], [0.703, 0.407, 0.171], [0.791, 0.582, 0.536], [0.209, 0.418, 0.036], [0.878, 0.757, 0.212], [0.122, 0.243, 0.712], [0.126, 0.252, 0.331], [0.874, 0.748, 0.831], [0.580, 0.160, 0.893], [0.420, 0.840, 0.393]]}

---

{"formula": "TlCuHg2Cl6", "functional": "PBE-GGA", "state": "optimized geometry", "crystal_system": "monoclinic", "sg": "C2/c, No. 15", "lattice_angstrom": [[7.324, 0.059, 0.061], [2.427, 9.592, -0.854], [2.427, -1.209, 9.553]], "species": ["Cl", "Cl", "Cl", "Cl", "Cl", "Cl", "Cl", "Cl", "Cl", "Cl", "Cl", "Cl", "Hg", "Hg", "Hg", "Hg", "Cu", "Cu", "Tl", "Tl"], "frac_coords": [[0.001, 0.302, 0.440], [0.499, 0.560, 0.698], [0.547, 0.156, 0.645], [0.453, 0.844, 0.355], [0.789, 0.042, 0.217], [0.289, 0.217, 0.042], [0.953, 0.355, 0.844], [0.999, 0.698, 0.560], [0.211, 0.958, 0.783], [0.047, 0.645, 0.156], [0.501, 0.440, 0.302], [0.711, 0.783, 0.958], [0.411, 0.728, 0.554], [0.089, 0.446, 0.272], [0.589, 0.272, 0.446], [0.911, 0.554, 0.728], [0.750, 0.816, 0.184], [0.250, 0.184, 0.816], [0.750, 0.088, 0.912], [0.250, 0.912, 0.088]]}

---

{"formula": "Ho2CuCl", "functional": "PBE-GGA", "state": "optimized geometry", "crystal_system": "trigonal", "sg": "R-3m, No. 166", "dos_ef_per_ev_cell": 2.51, "lattice_angstrom": [[-2.978, -1.357, -2.199], [0.618, -2.933, -2.561], [-2.314, -6.050, 3.335]], "species": ["Cu", "Cl", "Ho", "Ho"], "frac_coords": [[0.000, 0.000, 0.000], [0.500, 0.500, 0.500], [0.741, 0.741, 0.776], [0.259, 0.259, 0.224]]}

---

{"formula": "Ho2CuCl", "functional": "PBE-GGA", "state": "optimized geometry", "crystal_system": "trigonal", "sg": "R3m, No. 160", "dos_ef_per_ev_cell": 3.07, "lattice_angstrom": [[3.857, 0.000, 0.000], [1.929, 3.341, 0.000], [1.929, 1.114, 7.421]], "species": ["Cl", "Cu", "Ho", "Ho"], "frac_coords": [[0.498, 0.498, 0.506], [0.668, 0.668, 0.997], [0.262, 0.262, 0.213], [0.072, 0.072, 0.784]]}

---

{"formula": "HoCuCl6", "functional": "PBE-GGA", "state": "optimized geometry", "crystal_system": "triclinic", "sg": "P-1, No. 2", "lattice_angstrom": [[7.174, 1.209, -0.426], [4.719, 6.255, -0.650], [3.493, 2.009, 5.465]], "species": ["Cl", "Cl", "Cl", "Cl", "Cl", "Cl", "Ho", "Cu"], "frac_coords": [[0.628, 0.196, 0.289], [0.271, 0.902, 0.163], [0.729, 0.098, 0.837], [0.887, 0.521, 0.298], [0.372, 0.804, 0.711], [0.113, 0.479, 0.702], [0.500, 0.500, 0.500], [0.000, 0.000, 0.000]]}

---

Number 1: formation energy (no corrections) -0.249 eV/atom, magnetization 0.000 μB per atom. Number 2: formation energy (no corrections) 0.404 eV/atom, magnetization 0.000 μB per atom. Number 3: formation energy (no corrections) -0.672 eV/atom, magnetization 0.017 μB per atom. Number 4: formation energy (no corrections) -0.626 eV/atom, magnetization 0.133 μB per atom. Number 5: formation energy (no corrections) -0.673 eV/atom, magnetization 0.000 μB per atom. Number 6: formation energy (no corrections) -0.533 eV/atom, magnetization 0.082 μB per atom. Number 7: formation energy (no corrections) -0.705 eV/atom, magnetization 0.081 μB per atom. Number 8: formation energy (no corrections) -0.746 eV/atom, magnetization 0.009 μB per atom. Number 9: formation energy (no corrections) -0.635 eV/atom, magnetization 0.009 μB per atom. Number 10: formation energy (no corrections) -0.732 eV/atom, magnetization 0.000 μB per atom. Number 11: formation energy (no corrections) -0.688 eV/atom, magnetization 0.000 μB per atom. Number 12: formation energy (no corrections) -1.190 eV/atom, magnetization 0.000 μB per atom.